# 1
Density functional theory data (PBE) for a geometry-optimized ErSc3Te structure.

Raw formation energy in eV per atom: -0.255
Crystal system: monoclinic
Uncorrected energy in eV/atom: -5.59
ΔE to the lowest computed polymorph in eV/atom: 0.100
Space-group type: No. 12

abc: 6.5037 6.5037 8.4116
angles: 93.77 93.77 50.62
With the nearest neighbours (Å) after each atom.
Positions (direct):
Er  0.1018  0.1018  0.1362  1 Te 3.02, 5 Sc 3.16-3.31, 1 Er 3.19
Er  0.8982  0.8982  0.8638  1 Te 3.02, 5 Sc 3.16-3.31, 1 Er 3.19
Sc  0.1654  0.1654  0.7305  2 Te 2.97
Sc  0.3653  0.3653  0.0331  1 Te 3.08, 3 Er 3.16-3.28, 4 Sc 3.16-3.34
Sc  0.4531  0.4531  0.6707  2 Te 2.90-2.94, 2 Sc 3.15-3.16
Sc  0.5469  0.5469  0.3293  2 Te 2.90-2.94, 2 Sc 3.15-3.16
Sc  0.6347  0.6347  0.9670  1 Te 3.08, 3 Er 3.16-3.28, 4 Sc 3.16-3.34
Sc  0.8346  0.8346  0.2695  2 Te 2.97
Te  0.3023  0.3023  0.3821  5 Sc 2.90-3.08, 1 Er 3.02
Te  0.6977  0.6977  0.6179  5 Sc 2.90-3.08, 1 Er 3.02

# 2
Density functional theory data (PBE) for a geometry-optimized ErSc4Te2 structure.

Raw formation energy in eV per atom: -0.662
Crystal system: monoclinic
Uncorrected energy in eV/atom: -5.83
Space-group type: No. 11

abc: 7.7647 6.0036 8.0005
angles: 90.00 113.28 90.00
With the nearest neighbours (Å) after each atom.
Positions (direct):
Er  0.0183  0.2500  0.3525  4 Te 3.05-3.16, 1 Sc 3.20
Er  0.9817  0.7500  0.6475  4 Te 3.05-3.16, 1 Sc 3.20
Sc  0.2335  0.0011  0.0998  4 Sc 2.99-3.33, 4 Te 3.00-3.11
Sc  0.2335  0.4989  0.0998  4 Sc 2.99-3.33, 4 Te 3.00-3.11
Sc  0.3681  0.2500  0.7364  4 Te 2.87-3.15, 1 Sc 3.06, 1 Er 3.20
Sc  0.4134  0.7500  0.5089  2 Te 2.88-3.04, 1 Sc 3.06
Sc  0.5866  0.2500  0.4911  2 Te 2.88-3.04, 1 Sc 3.06
Sc  0.6319  0.7500  0.2636  4 Te 2.87-3.15, 1 Sc 3.06, 1 Er 3.20
Sc  0.7665  0.5011  0.9002  4 Sc 2.99-3.33, 4 Te 3.00-3.11
Sc  0.7665  0.9989  0.9002  4 Sc 2.99-3.33, 4 Te 3.00-3.11
Te  0.0002  0.2500  0.7408  6 Sc 2.87-3.11, 3 Er 3.08-3.16
Te  0.9998  0.7500  0.2592  6 Sc 2.87-3.11, 3 Er 3.08-3.16
Te  0.4048  0.7500  0.8660  8 Sc 2.88-3.15, 1 Er 3.05
Te  0.5952  0.2500  0.1340  8 Sc 2.88-3.15, 1 Er 3.05

# 3
Density functional theory data (PBE) for a geometry-optimized Er2ScTe structure.

Raw formation energy in eV per atom: -0.461
Crystal system: trigonal
Uncorrected energy in eV/atom: -5.11
ΔE to the lowest computed polymorph in eV/atom: 0.093
Space-group type: No. 160

abc: 9.6890 9.6890 9.6890
angles: 22.55 22.55 22.55
With the nearest neighbours (Å) after each atom.
Positions (direct):
Er  0.0000  0.0000  0.0000  3 Te 3.06, 3 Sc 3.39
Er  0.1817  0.1817  0.1817  3 Te 3.07, 3 Sc 3.37
Sc  0.7580  0.7580  0.7580  6 Er 3.37-3.39
Te  0.5909  0.5909  0.5909  6 Er 3.06-3.07

# 4
Density functional theory data (PBE) for a geometry-optimized ErScTe2 structure.

Raw formation energy in eV per atom: -1.156
Crystal system: trigonal
Uncorrected energy in eV/atom: -5.45
ΔE to the lowest computed polymorph in eV/atom: 0.036
Space-group type: No. 166

abc: 7.3511 7.3511 7.3511
angles: 33.57 33.57 33.57
With the nearest neighbours (Å) after each atom.
Positions (direct):
Er  0.0000  0.0000  0.0000  6 Te 3.05
Sc  0.5000  0.5000  0.5000  6 Te 2.96
Te  0.2462  0.2462  0.2462  3 Sc 2.96, 3 Er 3.05
Te  0.7538  0.7538  0.7538  3 Sc 2.96, 3 Er 3.05

# 5
Density functional theory data (PBE) for a geometry-optimized Er3ScTe3 structure.

Raw formation energy in eV per atom: -0.985
Crystal system: orthorhombic
Uncorrected energy in eV/atom: -5.19
Space-group type: No. 62

abc: 13.6293 4.0513 13.6809
angles: 90.00 90.00 90.00
With the nearest neighbours (Å) after each atom.
Positions (direct):
Er  0.0430  0.2500  0.1316  6 Te 3.10-3.37, 2 Sc 3.43
Er  0.1573  0.7500  0.5179  6 Te 3.11-3.30, 2 Sc 3.43
Er  0.2376  0.7500  0.8033  5 Te 2.99-3.06
Er  0.2624  0.2500  0.3033  5 Te 2.99-3.06
Er  0.3427  0.2500  0.0179  6 Te 3.11-3.30, 2 Sc 3.43
Er  0.4570  0.7500  0.6316  6 Te 3.10-3.37, 2 Sc 3.43
Er  0.5430  0.2500  0.3684  6 Te 3.10-3.37, 2 Sc 3.43
Er  0.6573  0.7500  0.9821  6 Te 3.11-3.30, 2 Sc 3.43
Er  0.7376  0.7500  0.6967  5 Te 2.99-3.06
Er  0.7624  0.2500  0.1967  5 Te 2.99-3.06
Er  0.8427  0.2500  0.4821  6 Te 3.11-3.30, 2 Sc 3.43
Er  0.9570  0.7500  0.8684  6 Te 3.10-3.37, 2 Sc 3.43
Sc  0.0703  0.2500  0.7006  4 Te 2.87-3.07
Sc  0.4297  0.7500  0.2006  4 Te 2.87-3.07
Sc  0.5703  0.2500  0.7994  4 Te 2.87-3.07
Sc  0.9297  0.7500  0.2994  4 Te 2.87-3.07
Te  0.0564  0.2500  0.3778  2 Sc 2.87, 3 Er 2.99-3.11
Te  0.1219  0.2500  0.9189  6 Er 3.02-3.30, 1 Sc 3.07
Te  0.2176  0.7500  0.1420  1 Sc 3.00, 6 Er 3.06-3.15
Te  0.2824  0.2500  0.6420  1 Sc 3.00, 6 Er 3.06-3.15
Te  0.3781  0.7500  0.4189  6 Er 3.02-3.30, 1 Sc 3.07
Te  0.4436  0.7500  0.8778  2 Sc 2.87, 3 Er 2.99-3.11
Te  0.5564  0.2500  0.1222  2 Sc 2.87, 3 Er 2.99-3.11
Te  0.6219  0.2500  0.5811  6 Er 3.02-3.30, 1 Sc 3.07
Te  0.7176  0.7500  0.3580  1 Sc 3.00, 6 Er 3.06-3.15
Te  0.7824  0.2500  0.8580  1 Sc 3.00, 6 Er 3.06-3.15
Te  0.8781  0.7500  0.0811  6 Er 3.02-3.30, 1 Sc 3.07
Te  0.9436  0.7500  0.6222  2 Sc 2.87, 3 Er 2.99-3.11

# 6
Density functional theory data (PBE) for a geometry-optimized Er2ScTe3 structure.

Raw formation energy in eV per atom: -1.207
Crystal system: trigonal
Uncorrected energy in eV/atom: -5.35
ΔE to the lowest computed polymorph in eV/atom: 0.000
Space-group type: No. 167

abc: 8.5040 8.5040 8.5040
angles: 50.20 50.20 50.20
With the nearest neighbours (Å) after each atom.
Positions (direct):
Er  0.1681  0.1681  0.1681  6 Te 3.03-3.06
Er  0.3319  0.3319  0.3319  6 Te 3.03-3.06
Er  0.6681  0.6681  0.6681  6 Te 3.03-3.06
Er  0.8319  0.8319  0.8319  6 Te 3.03-3.06
Sc  0.0000  0.0000  0.0000  6 Te 3.01
Sc  0.5000  0.5000  0.5000  6 Te 3.01
Te  0.0909  0.7500  0.4091  2 Sc 3.01, 4 Er 3.03-3.06
Te  0.2500  0.5909  0.9091  2 Sc 3.01, 4 Er 3.03-3.06
Te  0.4091  0.0909  0.7500  2 Sc 3.01, 4 Er 3.03-3.06
Te  0.5909  0.9091  0.2500  2 Sc 3.01, 4 Er 3.03-3.06
Te  0.7500  0.4091  0.0909  2 Sc 3.01, 4 Er 3.03-3.06
Te  0.9091  0.2500  0.5909  2 Sc 3.01, 4 Er 3.03-3.06

# 7
Density functional theory data (PBE) for a geometry-optimized ErScTe2 structure.

Raw formation energy in eV per atom: -1.013
Crystal system: cubic
Uncorrected energy in eV/atom: -5.31
ΔE to the lowest computed polymorph in eV/atom: 0.180
Space-group type: No. 225

abc: 5.2371 5.2371 5.2371
angles: 60.00 60.00 60.00
With the nearest neighbours (Å) after each atom.
Positions (direct):
Er  0.0000  0.0000  0.0000  8 Te 3.21
Sc  0.5000  0.5000  0.5000  8 Te 3.21
Te  0.2500  0.2500  0.2500  4 Er 3.21, 4 Sc 3.21
Te  0.7500  0.7500  0.7500  4 Er 3.21, 4 Sc 3.21

# 8
Density functional theory data (PBE) for a geometry-optimized ErSc3Te structure.

Raw formation energy in eV per atom: -0.354
Crystal system: orthorhombic
Uncorrected energy in eV/atom: -5.69
ΔE to the lowest computed polymorph in eV/atom: 0.000
Space-group type: No. 63

abc: 7.9643 7.9643 6.1178
angles: 90.00 90.00 140.99
With the nearest neighbours (Å) after each atom.
Positions (direct):
Er  0.0906  0.9094  0.7500  3 Te 3.11-3.30, 6 Sc 3.12-3.41
Er  0.9094  0.0906  0.2500  3 Te 3.11-3.30, 6 Sc 3.12-3.41
Sc  0.3099  0.6901  0.0007  5 Sc 3.00-3.21, 3 Te 3.11-3.20
Sc  0.3099  0.6901  0.4993  5 Sc 3.00-3.21, 3 Te 3.11-3.20
Sc  0.4817  0.5183  0.7500  4 Sc 3.00-3.11, 2 Er 3.12, 2 Te 3.14
Sc  0.5183  0.4817  0.2500  4 Sc 3.00-3.11, 2 Er 3.12, 2 Te 3.14
Sc  0.6901  0.3099  0.5007  5 Sc 3.00-3.21, 3 Te 3.11-3.20
Sc  0.6901  0.3099  0.9993  5 Sc 3.00-3.21, 3 Te 3.11-3.20
Te  0.1295  0.8705  0.2500  8 Sc 3.11-3.20, 3 Er 3.11-3.30
Te  0.8705  0.1295  0.7500  8 Sc 3.11-3.20, 3 Er 3.11-3.30

# 9
Density functional theory data (PBE) for a geometry-optimized Er4Sc3Te2 structure.

Raw formation energy in eV per atom: -0.485
Crystal system: monoclinic
Uncorrected energy in eV/atom: -5.32
Space-group type: No. 12

abc: 8.6388 8.6388 9.1919
angles: 121.14 121.14 24.87
With the nearest neighbours (Å) after each atom.
Positions (direct):
Er  0.0525  0.0525  0.3853  1 Te 3.29, 4 Er 3.40-3.53, 6 Sc 3.46-3.67
Er  0.2899  0.2899  0.6757  2 Te 3.16, 3 Sc 3.20-3.40, 5 Er 3.33-3.53
Er  0.7101  0.7101  0.3243  2 Te 3.16, 3 Sc 3.20-3.40, 5 Er 3.33-3.53
Er  0.9475  0.9475  0.6147  1 Te 3.29, 4 Er 3.40-3.53, 6 Sc 3.46-3.67
Sc  0.3501  0.3501  0.2409  3 Te 2.98-3.05
Sc  0.5000  0.5000  0.0000  4 Te 2.98, 2 Er 3.20
Sc  0.6499  0.6499  0.7591  3 Te 2.98-3.05
Te  0.1379  0.1379  0.9997  5 Sc 2.98-3.05, 3 Er 3.16-3.29
Te  0.8621  0.8621  0.0003  5 Sc 2.98-3.05, 3 Er 3.16-3.29

# 10
Density functional theory data (PBE) for a geometry-optimized Er2ScTe structure.

Raw formation energy in eV per atom: -0.105
Crystal system: trigonal
Uncorrected energy in eV/atom: -4.76
ΔE to the lowest computed polymorph in eV/atom: 0.448
Space-group type: No. 166

abc: 10.5355 10.5355 10.5355
angles: 20.47 20.47 20.47
With the nearest neighbours (Å) after each atom.
Positions (direct):
Er  0.0989  0.0989  0.0989  3 Te 3.01, 1 Sc 3.06
Er  0.9011  0.9011  0.9011  3 Te 3.01, 1 Sc 3.06
Sc  0.0000  0.0000  0.0000  2 Er 3.06
Te  0.5000  0.5000  0.5000  6 Er 3.01

# 11
Density functional theory data (PBE) for a geometry-optimized Er5ScTe4 structure.

Raw formation energy in eV per atom: -0.859
Crystal system: monoclinic
Uncorrected energy in eV/atom: -5.03
Space-group type: No. 12

abc: 9.2139 9.2139 8.3944
angles: 102.07 102.07 25.34
With the nearest neighbours (Å) after each atom.
Positions (direct):
Er  0.0000  0.0000  0.0000  4 Te 2.97
Er  0.3125  0.3125  0.1379  3 Te 3.14-3.19, 2 Er 3.50
Er  0.3336  0.3336  0.7199  4 Te 3.05-3.12
Er  0.6664  0.6664  0.2801  4 Te 3.05-3.12
Er  0.6875  0.6875  0.8621  3 Te 3.14-3.19, 2 Er 3.50
Sc  0.0000  0.0000  0.5000  6 Te 2.87-2.89
Te  0.1642  0.1642  0.5607  1 Sc 2.89, 5 Er 3.05-3.19
Te  0.4904  0.4904  0.2544  2 Sc 2.87, 4 Er 2.97-3.14
Te  0.5096  0.5096  0.7456  2 Sc 2.87, 4 Er 2.97-3.14
Te  0.8358  0.8358  0.4393  1 Sc 2.89, 5 Er 3.05-3.19

# 12
Density functional theory data (PBE) for a geometry-optimized Er4ScTe5 structure.

Raw formation energy in eV per atom: -1.187
Crystal system: tetragonal
Uncorrected energy in eV/atom: -5.22
ΔE to the lowest computed polymorph in eV/atom: 0.005
Space-group type: No. 79

abc: 7.4371 7.4371 7.4371
angles: 99.55 99.55 131.93
With the nearest neighbours (Å) after each atom.
Positions (direct):
Er  0.0901  0.3157  0.4057  6 Te 3.01-3.15
Er  0.3157  0.9099  0.2256  6 Te 3.01-3.15
Er  0.6843  0.0901  0.7744  6 Te 3.01-3.15
Er  0.9099  0.6843  0.5943  6 Te 3.01-3.15
Sc  0.5035  0.5035  0.0000  6 Te 2.93-3.03
Te  0.0027  0.0027  0.0000  2 Sc 3.02-3.03, 4 Er 3.15
Te  0.2141  0.6073  0.8214  1 Sc 2.93, 5 Er 3.01-3.07
Te  0.3928  0.2141  0.6068  1 Sc 2.93, 5 Er 3.01-3.07
Te  0.6073  0.7860  0.3932  1 Sc 2.93, 5 Er 3.01-3.07
Te  0.7860  0.3928  0.1786  1 Sc 2.93, 5 Er 3.01-3.07